DFT (PBE with a Hubbard U) results for a relaxed structure of Mn2VAg2O6.

space group: No. 12
final energy: -6.464 eV/atom

Cell: 5.3191 5.3191 6.2879 Å, 100.38 100.38 121.71°
Last column: nearest neighbours and their distance in Å.
Fractional positions:
1 Mn 0.1650 0.8350 0.0000  6 O 1.94-2.14
2 Mn 0.8350 0.1650 0.0000  6 O 1.94-2.14
3 V 0.5000 0.5000 0.0000  6 O 1.90-2.03
4 Ag 0.1822 0.8178 0.5000  4 O 2.41-2.50
5 Ag 0.8178 0.1822 0.5000  4 O 2.41-2.50
6 O 0.1159 0.1159 0.8140  1 V 1.90
7 O 0.2366 0.5600 0.1725  2 Mn 1.94-2.11, 1 V 2.03
8 O 0.4400 0.7634 0.8275  2 Mn 1.94-2.11, 1 V 2.03
9 O 0.5600 0.2366 0.1725  2 Mn 1.94-2.11, 1 V 2.03
10 O 0.7634 0.4400 0.8275  2 Mn 1.94-2.11, 1 V 2.03
11 O 0.8841 0.8841 0.1860  1 V 1.90